(P)
Material: Hg2Au2Br
Method: DFT, PBE
State: optimized geometry

Output
* crystal system: tetragonal
* space-group type: I4/mmm

Cell: 4.0172 4.0172 7.8816 Å, 75.24 75.24 90.00°
Fractional positions:
Br 0.0000 0.0000 0.0000
Hg 0.3984 0.3984 0.2032
Hg 0.6016 0.6016 0.7968
Au 0.2500 0.7500 0.5000
Au 0.7500 0.2500 0.5000



(Q)
Material: Hg2Au2Br
Method: DFT, PBE
State: optimized geometry

Output
* crystal system: tetragonal
* space-group type: P4/mbm

Cell: 7.9692 7.9692 3.6143 Å, 90.00 90.00 90.00°
Fractional positions:
Au 0.6243 0.1243 0.0000
Au 0.3757 0.8757 0.0000
Au 0.8757 0.6243 0.0000
Au 0.1243 0.3757 0.0000
Hg 0.8235 0.3235 0.5000
Hg 0.3235 0.1765 0.5000
Hg 0.1765 0.6765 0.5000
Hg 0.6765 0.8235 0.5000
Br 0.0000 0.0000 0.0000
Br 0.5000 0.5000 0.0000



Computed energies relative to the best structure, in kJ/mol of atoms: (P) 0.0; (Q) 8.4



(P)
Material: Hg2AuBr2
Method: DFT, PBE
State: optimized geometry

Output
* crystal system: tetragonal
* space-group type: I4/mmm

Cell: 4.9938 4.9938 6.8385 Å, 68.58 68.58 90.00°
Fractional positions:
Br 0.7500 0.2500 0.5000
Br 0.2500 0.7500 0.5000
Hg 0.3863 0.3863 0.2274
Hg 0.6137 0.6137 0.7726
Au 0.0000 0.0000 0.0000



(Q)
Material: Hg2AuBr2
Method: DFT, PBE
State: optimized geometry

Output
* crystal system: tetragonal
* space-group type: P4/mbm

Cell: 7.4849 7.4849 4.7893 Å, 90.00 90.00 90.00°
Fractional positions:
Hg 0.8670 0.6330 0.0000
Hg 0.3670 0.8670 0.0000
Hg 0.1330 0.3670 0.0000
Hg 0.6330 0.1330 0.0000
Br 0.7895 0.2895 0.5000
Br 0.2895 0.2105 0.5000
Br 0.7105 0.7895 0.5000
Br 0.2105 0.7105 0.5000
Au 0.5000 0.5000 0.0000
Au 0.0000 0.0000 0.0000



Computed energies relative to the best structure, in kJ/mol of atoms: (P) 13.5; (Q) 0.0



(P)
Material: HgAuBr3
Method: DFT, PBE
State: optimized geometry

Output
* crystal system: monoclinic
* space-group type: P2_1/m

Cell: 4.3507 7.1909 12.0108 Å, 117.03 90.00 90.00°
Fractional positions:
Br 0.7500 0.8011 0.0379
Br 0.7500 0.0081 0.6564
Br 0.2500 0.9919 0.3436
Br 0.2500 0.1989 0.9621
Br 0.2500 0.5887 0.6941
Br 0.7500 0.4113 0.3059
Hg 0.7500 0.8662 0.8363
Hg 0.2500 0.1338 0.1637
Au 0.7500 0.7658 0.3100
Au 0.2500 0.2342 0.6900



(Q)
Material: HgAuBr3
Method: DFT, PBE
State: optimized geometry

Output
* crystal system: cubic
* space-group type: Pm-3m

Cell: 5.3180 5.3180 5.3180 Å, 90.00 90.00 90.00°
Fractional positions:
Hg 0.5000 0.5000 0.5000
Br 0.0000 0.5000 0.0000
Br 0.0000 0.0000 0.5000
Br 0.5000 0.0000 0.0000
Au 0.0000 0.0000 0.0000



(R)
Material: HgAuBr3
Method: DFT, PBE
State: optimized geometry

Output
* crystal system: monoclinic
* space-group type: P2_1/c

Cell: 8.8528 6.9211 14.3517 Å, 114.94 90.00 90.00°
Fractional positions:
Br 0.5989 0.1209 0.9130
Br 0.9106 0.8186 0.0594
Br 0.4106 0.1814 0.4406
Br 0.9011 0.1209 0.4130
Br 0.2827 0.5614 0.7482
Br 0.5894 0.8186 0.5594
Br 0.0894 0.1814 0.9406
Br 0.2173 0.5614 0.2482
Br 0.7827 0.4386 0.7518
Br 0.0989 0.8791 0.5870
Br 0.7173 0.4386 0.2518
Br 0.4011 0.8791 0.0870
Hg 0.3332 0.9283 0.9132
Hg 0.8332 0.0717 0.5868
Hg 0.6668 0.0717 0.0868
Hg 0.1668 0.9283 0.4132
Au 0.6858 0.6284 0.6556
Au 0.8142 0.6284 0.1556
Au 0.3142 0.3716 0.3444
Au 0.1858 0.3716 0.8444



Computed energies relative to the best structure, in kJ/mol of atoms: (P) 7.1; (Q) 28.3; (R) 0.0



(P)
Material: Hg4AuBr
Method: DFT, PBE
State: optimized geometry

Output
* crystal system: cubic
* space-group type: F-43m

Cell: 6.0386 6.0386 6.0386 Å, 60.00 60.00 60.00°
Fractional positions:
Hg 0.8737 0.3754 0.3754
Hg 0.3754 0.3754 0.8737
Hg 0.3754 0.8737 0.3754
Hg 0.3754 0.3754 0.3754
Au 0.7500 0.7500 0.7500
Br 0.0000 0.0000 0.0000



(Q)
Material: Hg4AuBr
Method: DFT, PBE
State: optimized geometry

Output
* crystal system: monoclinic
* space-group type: P2_1/c

Cell: 6.7322 11.0231 12.2311 Å, 103.46 90.00 90.00°
Fractional positions:
Hg 0.0583 0.1217 0.1739
Hg 0.4417 0.6217 0.1739
Hg 0.9417 0.8783 0.8261
Hg 0.4687 0.2109 0.1596
Hg 0.5313 0.7891 0.8404
Hg 0.2759 0.0489 0.6904
Hg 0.0313 0.7109 0.1596
Hg 0.5013 0.7517 0.5010
Hg 0.4987 0.2483 0.4990
Hg 0.5583 0.3783 0.8261
Hg 0.0013 0.7483 0.4990
Hg 0.7759 0.4511 0.3096
Hg 0.7241 0.9511 0.3096
Hg 0.9687 0.2891 0.8404
Hg 0.2241 0.5489 0.6904
Hg 0.9987 0.2517 0.5010
Au 0.7509 0.2034 0.3194
Au 0.2509 0.2966 0.6806
Au 0.7491 0.7034 0.3194
Au 0.2491 0.7966 0.6806
Br 0.7602 0.1159 0.9493
Br 0.2602 0.3841 0.0507
Br 0.2398 0.8841 0.0507
Br 0.7398 0.6159 0.9493



Computed energies relative to the best structure, in kJ/mol of atoms: (P) 32.1; (Q) 0.0



(P)
Material: HgAu2Br8
Method: DFT, PBE
State: optimized geometry

Output
* crystal system: monoclinic
* space-group type: C2/m

Cell: 7.4029 7.4420 7.4420 Å, 67.06 75.84 75.84°
Fractional positions:
Br 0.3126 0.8021 0.8021
Br 0.7939 0.1194 0.6846
Br 0.2061 0.3154 0.8806
Br 0.6874 0.1979 0.1979
Br 0.7939 0.6846 0.1194
Br 0.2061 0.8806 0.3154
Br 0.7304 0.5830 0.5830
Br 0.2696 0.4170 0.4170
Hg 0.0000 0.0000 0.0000
Au 0.3350 0.2037 0.2037
Au 0.6650 0.7963 0.7963



(Q)
Material: HgAu2Br8
Method: DFT, PBE
State: optimized geometry

Output
* crystal system: triclinic
* space-group type: P-1

Cell: 8.1749 8.6240 10.7234 Å, 112.74 69.28 132.77°
Fractional positions:
Au 0.9428 0.4649 0.6745
Au 0.0572 0.5351 0.3255
Hg 0.0000 0.0000 0.0000
Br 0.1632 0.6600 0.8626
Br 0.6205 0.1779 0.7971
Br 0.8368 0.3400 0.1374
Br 0.7288 0.2732 0.4751
Br 0.8066 0.8206 0.8011
Br 0.2712 0.7268 0.5249
Br 0.3795 0.8221 0.2029
Br 0.1934 0.1794 0.1989



Computed energies relative to the best structure, in kJ/mol of atoms: (P) 19.7; (Q) 0.0



(P)
Material: Ho2AuBr
Method: DFT, PBE
State: optimized geometry

Output
* crystal system: trigonal
* space-group type: R3m

Cell: 4.0157 4.0157 8.2461 Å, 75.91 75.91 60.00°
Fractional positions:
Ho 0.2642 0.2642 0.2073
Ho 0.0707 0.0707 0.7879
Br 0.4972 0.4972 0.5083
Au 0.6679 0.6679 0.9964



(Q)
Material: Ho2AuBr
Method: DFT, PBE
State: optimized geometry

Output
* crystal system: trigonal
* space-group type: R-3m

Cell: 4.3967 4.3967 8.6953 Å, 75.36 75.36 60.00°
Fractional positions:
Ho 0.8879 0.8879 0.3363
Ho 0.1121 0.1121 0.6637
Au 0.5000 0.5000 0.5000
Br 0.0000 0.0000 0.0000



Computed energies relative to the best structure, in kJ/mol of atoms: (P) 0.0; (Q) 2.5